## Be2MoRu (PBE-GGA)

Data for crystalline Be2MoRu at its relaxed geometry.

abc: 5.6764 5.6764 5.6764
angles: 90.00 90.00 90.00
Last column: nearest neighbours and their distance in Å.
Space group Fm-3m (No. 225)
One atom of each set of equivalent atoms:
Be (0.2500, 0.2500, 0.2500) [8 per cell]  4 Mo 2.46, 4 Ru 2.46
Mo (0.0000, 0.0000, 0.0000) [4 per cell]  8 Be 2.46
Ru (0.0000, 0.0000, 0.5000) [4 per cell]  8 Be 2.46

Results
- energy relative to the elements (eV/f.u.) = 0.012
- energy relative to the lowest polymorph listed for this composition (eV/atom) = 0.195

## Li4PmAgSn2 (PBE-GGA)

Data for crystalline Li4PmAgSn2 at its relaxed geometry.

abc: 4.7441 4.7441 24.8620
angles: 90.00 90.00 120.00
Last column: nearest neighbours and their distance in Å.
Space group R-3m (No. 166, hexagonal axes)
One atom of each set of equivalent atoms:
Li (0.0000, 0.0000, 0.1023) [6 per cell]  1 Ag 2.54, 3 Sn 2.75
Li (0.0000, 0.0000, 0.3663) [6 per cell]  3 Ag 2.86, 4 Sn 3.07-3.09, 3 Li 3.19
Pm (0.0000, 0.0000, 0.5000) [3 per cell]  8 Li 3.17-3.32, 6 Sn 3.33
Ag (0.0000, 0.0000, 0.0000) [3 per cell]  2 Li 2.54
Sn (0.0000, 0.0000, 0.2429) [6 per cell]  4 Li 2.75-3.07

Results
- energy relative to the elements (eV/f.u.) = -3.100

## RbLiSn2 (PBE-GGA)

Data for crystalline RbLiSn2 at its relaxed geometry.

abc: 7.8261 7.8261 7.8261
angles: 90.00 90.00 90.00
Last column: nearest neighbours and their distance in Å.
Space group Fm-3m (No. 225)
One atom of each set of equivalent atoms:
Rb (0.0000, 0.0000, 0.0000) [4 per cell]  8 Sn 3.39
Li (0.0000, 0.0000, 0.5000) [4 per cell]  8 Sn 3.39
Sn (0.2500, 0.2500, 0.2500) [8 per cell]  4 Li 3.39, 4 Rb 3.39

Results
- energy relative to the elements (eV/f.u.) = 0.369
- energy relative to the lowest polymorph listed for this composition (eV/atom) = 0.364

## Sc4Cd2Au (PBE-GGA)

Data for crystalline Sc4Cd2Au at its relaxed geometry.

abc: 4.8784 4.8784 23.7670
angles: 90.00 90.00 120.00
Last column: nearest neighbours and their distance in Å.
Space group R-3m (No. 166, hexagonal axes)
One atom of each set of equivalent atoms:
Sc (0.0000, 0.0000, 0.1232) [6 per cell]  4 Cd 2.98-3.05, 3 Au 3.00
Sc (0.0000, 0.0000, 0.3744) [6 per cell]  4 Cd 2.93-2.98, 1 Au 2.98
Cd (0.0000, 0.0000, 0.2513) [6 per cell]  8 Sc 2.93-3.05
Au (0.0000, 0.0000, 0.5000) [3 per cell]  8 Sc 2.98-3.00

Results
- energy relative to the elements (eV/f.u.) = -1.510

## MgInI3 (PBE-GGA)

Data for crystalline MgInI3 at its relaxed geometry.

abc: 5.7853 5.7853 5.7853
angles: 90.00 90.00 90.00
Last column: nearest neighbours and their distance in Å.
Space group Pm-3m (No. 221)
One atom of each set of equivalent atoms:
Mg (0.0000, 0.0000, 0.0000) [1 per cell]  6 I 2.89
In (0.5000, 0.5000, 0.5000) [1 per cell]  12 I 4.09
I (0.0000, 0.0000, 0.5000) [3 per cell]  2 Mg 2.89

Results
- energy relative to the lowest polymorph listed for this composition (eV/atom) = 0.093
- ΔE_f (raw) (eV/atom) = -0.68

## K3FeRh2Se6 (PBE-GGA)

Data for crystalline K3FeRh2Se6 at its relaxed geometry.

abc: 6.6844 11.5791 7.4693
angles: 90.00 107.36 90.00
Last column: nearest neighbours and their distance in Å.
Space group C2/m (No. 12)
One atom of each set of equivalent atoms:
K (0.0000, 0.0000, 0.0000) [2 per cell]  6 Se 3.24-3.29
K (0.0000, 0.3298, 0.0000) [4 per cell]  6 Se 3.24-3.27
Fe (0.0000, 0.5000, 0.5000) [2 per cell]  6 Se 2.48
Rh (0.0000, 0.1666, 0.5000) [4 per cell]  6 Se 2.55
Se (0.2180, 0.3374, 0.6664) [8 per cell]  1 Fe 2.48, 2 Rh 2.55
Se (0.2306, 0.0000, 0.6673) [4 per cell]  1 Fe 2.48, 2 Rh 2.55

Results
- ΔE_f (raw) (eV/atom) = -0.64

## ZrScReTc (PBE-GGA)

Data for crystalline ZrScReTc at its relaxed geometry.

abc: 6.5489 6.5489 6.5489
angles: 90.00 90.00 90.00
Last column: nearest neighbours and their distance in Å.
Space group F-43m (No. 216)
One atom of each set of equivalent atoms:
Zr (0.0000, 0.0000, 0.0000) [4 per cell]  4 Tc 2.84, 4 Re 2.84
Sc (0.0000, 0.0000, 0.5000) [4 per cell]  4 Re 2.84, 4 Tc 2.84
Re (0.2500, 0.2500, 0.2500) [4 per cell]  4 Zr 2.84, 4 Sc 2.84
Tc (0.2500, 0.2500, 0.7500) [4 per cell]  4 Zr 2.84, 4 Sc 2.84

Results
- energy relative to the elements (eV/f.u.) = -0.456

## CdSiRh2 (PBE-GGA)

Data for crystalline CdSiRh2 at its relaxed geometry.

abc: 2.9113 2.9124 7.0054
angles: 90.00 90.12 90.00
Last column: nearest neighbours and their distance in Å.
Space group P2/m (No. 10)
One atom of each set of equivalent atoms:
Cd (0.0000, 0.0000, 0.0000) [1 per cell]  4 Cd 2.91, 8 Rh 2.93-2.94
Si (0.0000, 0.0000, 0.5000) [1 per cell]  8 Rh 2.49
Rh (0.4991, 0.5000, 0.2991) [2 per cell]  4 Si 2.49

Results
- ΔE_f (raw) (eV/atom) = -0.60

## Ag2Bi5Au2 (PBE-GGA)

Data for crystalline Ag2Bi5Au2 at its relaxed geometry.

abc: 17.4478 7.6045 7.4164
angles: 90.00 90.00 90.00
Last column: nearest neighbours and their distance in Å.
Space group Ima2 (No. 46)
One atom of each set of equivalent atoms:
Ag (0.0817, 0.0054, 0.0000) [8 per cell]  1 Au 2.83, 1 Ag 2.85, 5 Bi 2.95-3.06
Bi (0.0894, 0.6342, 0.8708) [8 per cell]  2 Au 2.90-2.97, 2 Ag 2.95-2.98
Bi (0.1528, 0.1858, 0.6793) [8 per cell]  2 Ag 2.97-3.01, 2 Au 3.00-3.02
Bi (0.2500, 0.6057, 0.5240) [4 per cell]  2 Au 2.99-3.00, 2 Ag 3.06
Au (0.0000, 0.0000, 0.6710) [4 per cell]  2 Ag 2.83, 4 Bi 2.90-3.02
Au (0.2500, 0.5145, 0.9166) [4 per cell]  6 Bi 2.97-3.00

Results
- energy relative to the elements (eV/f.u.) = 0.566

## Rb2CdHg2Se4 (PBE-GGA)

Data for crystalline Rb2CdHg2Se4 at its relaxed geometry.

abc: 17.6581 4.2396 7.9022
angles: 90.00 107.28 90.00
Last column: nearest neighbours and their distance in Å.
Space group C2/m (No. 12)
One atom of each set of equivalent atoms:
Rb (0.1243, 0.0000, 0.0448) [4 per cell]  7 Se 3.54-3.68
Cd (0.0000, 0.0000, 0.5000) [2 per cell]  4 Se 2.83
Hg (0.1653, 0.5000, 0.5012) [4 per cell]  4 Se 2.66-2.97
Se (0.0189, 0.5000, 0.2777) [4 per cell]  1 Hg 2.66, 2 Cd 2.83
Se (0.2207, 0.0000, 0.7106) [4 per cell]  3 Hg 2.69-2.97

Results
- ΔE_f (raw) (eV/atom) = -0.63

## TlGa2Au5 (PBE-GGA)

Data for crystalline TlGa2Au5 at its relaxed geometry.

abc: 4.1217 6.8324 11.7568
angles: 90.00 90.00 90.00
Last column: nearest neighbours and their distance in Å.
Space group Immm (No. 71)
One atom of each set of equivalent atoms:
Tl (0.0000, 0.0000, 0.0000) [2 per cell]  10 Au 3.24-3.42
Ga (0.0000, 0.5000, 0.2276) [4 per cell]  7 Au 2.54-2.76
Au (0.0000, 0.2143, 0.3664) [8 per cell]  3 Ga 2.54-2.76
Au (0.0000, 0.5000, 0.0000) [2 per cell]  2 Ga 2.68, 8 Au 2.98

Results
- energy relative to the elements (eV/f.u.) = -0.704

## SrAl12Cu7 (PBE-GGA)

Data for crystalline SrAl12Cu7 at its relaxed geometry.

abc: 12.5773 12.5773 7.0482
angles: 90.00 90.00 120.00
Last column: nearest neighbours and their distance in Å.
Space group R-3m (No. 166, hexagonal axes)
One atom of each set of equivalent atoms:
Sr (0.0000, 0.0000, 0.0000) [3 per cell]  8 Cu 3.15-3.52, 12 Al 3.28-3.52
Al (0.0000, 0.2607, 0.0000) [18 per cell]  4 Cu 2.52-2.55
Al (0.1082, 0.2165, 0.3710) [18 per cell]  4 Cu 2.53-2.55, 1 Al 2.60
Cu (0.0000, 0.0000, 0.5000) [3 per cell]  6 Al 2.53
Cu (0.1014, 0.5507, 0.3991) [18 per cell]  7 Al 2.52-2.55, 1 Cu 2.63

Results
- energy relative to the elements (eV/f.u.) = -2.764

## ReHg3C (PBE-GGA)

Data for crystalline ReHg3C at its relaxed geometry.

abc: 5.3061 5.3061 5.3061
angles: 90.00 90.00 90.00
Last column: nearest neighbours and their distance in Å.
Space group Pm-3m (No. 221)
One atom of each set of equivalent atoms:
Re (0.0000, 0.0000, 0.0000) [1 per cell]  6 Hg 2.65
Hg (0.0000, 0.0000, 0.5000) [3 per cell]  2 Re 2.65
C (0.5000, 0.5000, 0.5000) [1 per cell]  12 Hg 3.75

Results
- energy relative to the elements (eV/f.u.) = 11.572
- energy relative to the lowest polymorph listed for this composition (eV/atom) = 0.404

## KRbCdBr (PBE-GGA)

Data for crystalline KRbCdBr at its relaxed geometry.

abc: 8.7444 8.7444 8.7444
angles: 90.00 90.00 90.00
Last column: nearest neighbours and their distance in Å.
Space group F-43m (No. 216)
One atom of each set of equivalent atoms:
K (0.0000, 0.0000, 0.0000) [4 per cell]  4 Cd 3.79, 4 Br 3.79
Rb (0.0000, 0.0000, 0.5000) [4 per cell]  4 Br 3.79, 4 Cd 3.79
Cd (0.2500, 0.2500, 0.7500) [4 per cell]  4 Rb 3.79, 4 K 3.79
Br (0.2500, 0.2500, 0.2500) [4 per cell]  4 K 3.79, 4 Rb 3.79

Results
- ΔE_f (raw) (eV/atom) = -0.64

## SrCrPd (PBE-GGA)

Data for crystalline SrCrPd at its relaxed geometry.

abc: 5.8211 4.6039 11.5561
angles: 90.00 90.00 90.00
Last column: nearest neighbours and their distance in Å.
Space group Pnma (No. 62)
One atom of each set of equivalent atoms:
Sr (0.1323, 0.2500, 0.1283) [4 per cell]  4 Pd 3.05-3.34
Cr (0.1349, 0.7500, 0.3478) [4 per cell]  3 Pd 2.63-2.71
Pd (0.1265, 0.2500, 0.4583) [4 per cell]  3 Cr 2.63-2.71, 2 Pd 2.90

Results
- energy relative to the elements (eV/f.u.) = 0.309
- energy relative to the lowest polymorph listed for this composition (eV/atom) = 0.103

## Ac2U2S7 (PBE-GGA)

Data for crystalline Ac2U2S7 at its relaxed geometry.

abc: 13.4753 13.4753 13.4753
angles: 90.00 90.00 90.00
Last column: nearest neighbours and their distance in Å.
Space group Fd-3m (No. 227, origin choice 2)
One atom of each set of equivalent atoms:
Ac (0.0000, 0.0000, 0.0000) [16 per cell]  8 S 2.92-3.19
U (0.0000, 0.0000, 0.5000) [16 per cell]  6 S 2.69
S (0.0927, 0.3750, 0.8750) [48 per cell]  2 U 2.69
S (0.1250, 0.1250, 0.1250) [8 per cell]  4 Ac 2.92

Results
- energy relative to the lowest polymorph listed for this composition (eV/atom) = 0.000
- ΔE_f (raw) (eV/atom) = -1.72

## La5TlRu (PBE-GGA)

Data for crystalline La5TlRu at its relaxed geometry.

abc: 5.0748 5.0748 8.3640
angles: 90.00 90.00 90.00
Last column: nearest neighbours and their distance in Å.
Space group P4/mmm (No. 123)
One atom of each set of equivalent atoms:
La (0.0000, 0.0000, 0.0000) [1 per cell]  8 La 3.58, 4 Tl 3.59
La (0.0000, 0.5000, 0.3015) [4 per cell]  2 Ru 3.03, 1 La 3.32
Tl (0.5000, 0.5000, 0.0000) [1 per cell]  12 La 3.58-3.59
Ru (0.0000, 0.0000, 0.5000) [1 per cell]  8 La 3.03

Results
- energy relative to the elements (eV/f.u.) = -1.515
- energy relative to the lowest polymorph listed for this composition (eV/atom) = 0.000

## DyTh2Tl (PBE-GGA)

Data for crystalline DyTh2Tl at its relaxed geometry.

abc: 7.8685 7.8685 7.8685
angles: 90.00 90.00 90.00
Last column: nearest neighbours and their distance in Å.
Space group Fm-3m (No. 225)
One atom of each set of equivalent atoms:
Dy (0.0000, 0.0000, 0.0000) [4 per cell]  8 Th 3.41
Th (0.2500, 0.2500, 0.2500) [8 per cell]  4 Tl 3.41, 4 Dy 3.41
Tl (0.0000, 0.0000, 0.5000) [4 per cell]  8 Th 3.41

Results
- energy relative to the elements (eV/f.u.) = 0.440
- energy relative to the lowest polymorph listed for this composition (eV/atom) = 0.210

## Ac3HgBr3 (PBE-GGA)

Data for crystalline Ac3HgBr3 at its relaxed geometry.

abc: 13.0177 13.0177 13.0177
angles: 90.00 90.00 90.00
Last column: nearest neighbours and their distance in Å.
Space group I4_132 (No. 214)
One atom of each set of equivalent atoms:
Ac (0.1194, 0.3694, 0.1250) [24 per cell]  2 Hg 3.18, 4 Br 3.31-3.33
Hg (0.1250, 0.1250, 0.1250) [8 per cell]  6 Ac 3.18
Br (0.1210, 0.1290, 0.6250) [24 per cell]  4 Ac 3.31-3.33

Results
- ΔE_f (raw) (eV/atom) = -1.23

## KSr2GeIr (PBE-GGA)

Data for crystalline KSr2GeIr at its relaxed geometry.

abc: 6.0114 6.0114 4.8360
angles: 90.00 90.00 90.00
Last column: nearest neighbours and their distance in Å.
Space group P4/mmm (No. 123)
One atom of each set of equivalent atoms:
K (0.0000, 0.0000, 0.0000) [1 per cell]  8 Sr 3.86, 4 Ge 4.25
Sr (0.0000, 0.5000, 0.5000) [2 per cell]  2 Ir 3.01
Ge (0.5000, 0.5000, 0.0000) [1 per cell]  2 Ir 2.42
Ir (0.5000, 0.5000, 0.5000) [1 per cell]  2 Ge 2.42

Results
- energy relative to the elements (eV/f.u.) = -1.025